# Dy3MgZn8, optimized geometry, DFT GGA-PBE
data_Dy3MgZn8
_symmetry_space_group_name_H-M 'R 3 m'
_symmetry_Int_Tables_number 160
_symmetry_space_group_name_Hall 'R 3 -2"'
_cell_length_a 5.4174
_cell_length_b 5.4174
_cell_length_c 26.4765
_cell_angle_alpha 90.00
_cell_angle_beta 90.00
_cell_angle_gamma 120.00
loop_
_atom_site_label
_atom_site_type_symbol
_atom_site_fract_x
_atom_site_fract_y
_atom_site_fract_z
Dy1 Dy 0.0000 0.0000 0.0000
Dy2 Dy 0.0000 0.0000 0.1252
Dy3 Dy 0.0000 0.0000 0.6194
Mg1 Mg 0.0000 0.0000 0.4964
Zn1 Zn 0.0000 0.0000 0.3108
Zn2 Zn 0.0000 0.0000 0.8103
Zn3 Zn 0.1674 0.3348 0.3943
Zn4 Zn 0.1679 0.3358 0.8939
# E: -2.428 eV per atom
# DOS at the Fermi energy: 15.51 states/eV per cell